Record 1
VASP calculation (PBE) on a geometry-optimized Rb2YTcCl6 structure.

a b c (Å): 7.242 7.242 7.242
angles (deg): 60.00 60.00 60.00
Fractional positions:
Rb  0.250  0.250  0.250
Rb  0.750  0.750  0.750
Y  0.000  0.000  0.000
Tc  0.500  0.500  0.500
Cl  0.258  0.258  0.742
Cl  0.258  0.742  0.258
Cl  0.258  0.742  0.742
Cl  0.742  0.258  0.258
Cl  0.742  0.258  0.742
Cl  0.742  0.742  0.258

## Properties
Its total magnetization is 0.0 μB/f.u. The density of states at the Fermi level comes out at 0.000 states/eV per atom. The value obtained for the density is 3.53 Mg/m³. As for the space-group type: Fm-3m, No. 225. The total DFT energy (no corrections) is -4.448 eV/atom.

=====

Record 2
VASP calculation (PBE) on a geometry-optimized Rb2ZnTcCl6 structure.

a b c (Å): 7.296 7.296 7.296
angles (deg): 119.82 119.82 90.31
Fractional positions:
Rb  0.250  0.750  0.500
Rb  0.750  0.250  0.500
Zn  0.000  0.000  0.000
Tc  0.500  0.500  0.000
Cl  0.222  0.222  0.000
Cl  0.266  0.266  0.532
Cl  0.266  0.734  0.000
Cl  0.734  0.266  0.000
Cl  0.734  0.734  0.468
Cl  0.778  0.778  0.000

## Properties
Its total magnetization is 3.0 μB/f.u. The density of states at the Fermi level comes out at 0.402 states/eV per atom. The value obtained for the density is 3.30 Mg/m³. As for the space-group type: I4/mmm, No. 139. The total DFT energy (no corrections) is -3.582 eV/atom.

=====

Record 3
VASP calculation (PBE) on a geometry-optimized RbTeCl2 structure.

a b c (Å): 10.847 10.847 10.847
angles (deg): 19.97 19.97 19.97
Fractional positions:
Rb  0.000  0.000  0.000
Te  0.500  0.500  0.500
Cl  0.091  0.091  0.091
Cl  0.909  0.909  0.909

## Properties
Its total magnetization is 0.4 μB/f.u. The density of states at the Fermi level comes out at 0.887 states/eV per atom. The value obtained for the density is 3.62 Mg/m³. As for the space-group type: R-3m, No. 166. The total DFT energy (no corrections) is -2.197 eV/atom. The calculation puts the distance to the lowest polymorph of the same formula at 680.9 meV/atom.

=====

Record 4
VASP calculation (PBE) on a geometry-optimized Rb2TeCl structure.

a b c (Å): 6.092 6.092 6.092
angles (deg): 60.00 60.00 60.00
Fractional positions:
Rb  0.250  0.250  0.250
Rb  0.750  0.750  0.750
Te  0.000  0.000  0.000
Cl  0.500  0.500  0.500

## Properties
Its total magnetization is 1.0 μB/f.u. The density of states at the Fermi level comes out at 3.045 states/eV per atom. The value obtained for the density is 3.47 Mg/m³. As for the space-group type: Fm-3m, No. 225. The total DFT energy (no corrections) is -2.779 eV/atom. The calculation puts the distance to the lowest polymorph of the same formula at 217.8 meV/atom.

=====

Record 5
VASP calculation (PBE) on a geometry-optimized Rb12Te3Cl5 structure.

a b c (Å): 17.499 17.499 17.499
angles (deg): 109.47 109.47 109.47
Fractional positions:
Rb  0.044  0.218  0.133
Rb  0.044  0.325  0.911
Rb  0.085  0.718  0.675
Rb  0.085  0.867  0.411
Rb  0.089  0.633  0.415
Rb  0.089  0.956  0.675
Rb  0.133  0.044  0.218
Rb  0.133  0.589  0.915
Rb  0.175  0.218  0.585
Rb  0.175  0.456  0.589
Rb  0.218  0.133  0.044
Rb  0.218  0.585  0.175
Rb  0.282  0.325  0.915
Rb  0.282  0.456  0.367
Rb  0.325  0.911  0.044
Rb  0.325  0.915  0.282
Rb  0.367  0.282  0.456
Rb  0.367  0.585  0.911
Rb  0.411  0.085  0.867
Rb  0.411  0.825  0.544
Rb  0.415  0.089  0.633
Rb  0.415  0.825  0.782
Rb  0.456  0.367  0.282
Rb  0.456  0.589  0.175
Rb  0.544  0.411  0.825
Rb  0.544  0.633  0.718
Rb  0.585  0.175  0.218
Rb  0.585  0.911  0.367
Rb  0.589  0.175  0.456
Rb  0.589  0.915  0.133
Rb  0.633  0.415  0.089
Rb  0.633  0.718  0.544
Rb  0.675  0.085  0.718
Rb  0.675  0.089  0.956
Rb  0.718  0.544  0.633
Rb  0.718  0.675  0.085
Rb  0.782  0.415  0.825
Rb  0.782  0.867  0.956
Rb  0.825  0.544  0.411
Rb  0.825  0.782  0.415
Rb  0.867  0.411  0.085
Rb  0.867  0.956  0.782
Rb  0.911  0.044  0.325
Rb  0.911  0.367  0.585
Rb  0.915  0.133  0.589
Rb  0.915  0.282  0.325
Rb  0.956  0.675  0.089
Rb  0.956  0.782  0.867
Te  0.125  0.250  0.375
Te  0.125  0.375  0.750
Te  0.250  0.375  0.125
Te  0.250  0.875  0.625
Te  0.375  0.125  0.250
Te  0.375  0.750  0.125
Te  0.625  0.250  0.875
Te  0.625  0.875  0.750
Te  0.750  0.125  0.375
Te  0.750  0.625  0.875
Te  0.875  0.625  0.250
Te  0.875  0.750  0.625
Cl  0.000  0.000  0.000
Cl  0.000  0.000  0.500
Cl  0.000  0.500  0.000
Cl  0.000  0.500  0.500
Cl  0.125  0.750  0.875
Cl  0.125  0.875  0.250
Cl  0.250  0.125  0.875
Cl  0.250  0.625  0.375
Cl  0.375  0.250  0.625
Cl  0.375  0.625  0.750
Cl  0.500  0.000  0.000
Cl  0.500  0.000  0.500
Cl  0.500  0.500  0.000
Cl  0.500  0.500  0.500
Cl  0.625  0.375  0.250
Cl  0.625  0.750  0.375
Cl  0.750  0.375  0.625
Cl  0.750  0.875  0.125
Cl  0.875  0.125  0.750
Cl  0.875  0.250  0.125

## Properties
Its total magnetization is 0.0 μB/f.u. The density of states at the Fermi level comes out at 0.061 states/eV per atom. The value obtained for the density is 2.55 Mg/m³. As for the space-group type: Ia-3d, No. 230. The total DFT energy (no corrections) is -2.865 eV/atom.

=====

Record 6
VASP calculation (PBE) on a geometry-optimized Rb6TeCl4 structure.

a b c (Å): 8.175 8.175 23.838
angles (deg): 90.00 90.00 144.97
Fractional positions:
Rb  0.000  0.000  0.000
Rb  0.000  0.000  0.500
Rb  0.181  0.819  0.750
Rb  0.268  0.732  0.088
Rb  0.268  0.732  0.412
Rb  0.452  0.548  0.662
Rb  0.452  0.548  0.838
Rb  0.548  0.452  0.162
Rb  0.548  0.452  0.338
Rb  0.732  0.268  0.588
Rb  0.732  0.268  0.912
Rb  0.819  0.181  0.250
Te  0.158  0.842  0.250
Te  0.842  0.158  0.750
Cl  0.094  0.906  0.625
Cl  0.094  0.906  0.875
Cl  0.362  0.638  0.539
Cl  0.362  0.638  0.961
Cl  0.638  0.362  0.039
Cl  0.638  0.362  0.461
Cl  0.906  0.094  0.125
Cl  0.906  0.094  0.375

## Properties
Its total magnetization is 0.0 μB/f.u. The value obtained for the density is 2.84 Mg/m³. As for the space-group type: Cmcm, No. 63. The total DFT energy (no corrections) is -3.143 eV/atom.

=====

Record 7
VASP calculation (PBE) on a geometry-optimized Rb4TeCl2 structure.

a b c (Å): 10.219 10.219 10.219
angles (deg): 140.69 140.69 56.80
Fractional positions:
Rb  0.000  0.500  0.500
Rb  0.192  0.192  0.000
Rb  0.500  0.000  0.500
Rb  0.808  0.808  0.000
Te  0.000  0.000  0.000
Cl  0.363  0.363  0.000
Cl  0.637  0.637  0.000

## Properties
Its total magnetization is 0.0 μB/f.u. The value obtained for the density is 2.11 Mg/m³. As for the space-group type: I4/mmm, No. 139. The total DFT energy (no corrections) is -2.811 eV/atom.

=====

Record 8
VASP calculation (PBE) on a geometry-optimized Rb3TeCl6 structure.

a b c (Å): 8.164 8.164 8.164
angles (deg): 118.59 118.59 92.46
Fractional positions:
Rb  0.000  0.000  0.000
Rb  0.250  0.750  0.500
Rb  0.750  0.250  0.500
Te  0.500  0.500  0.000
Cl  0.263  0.263  0.526
Cl  0.263  0.737  0.000
Cl  0.274  0.274  0.000
Cl  0.726  0.726  0.000
Cl  0.737  0.263  0.000
Cl  0.737  0.737  0.474

## Properties
Its total magnetization is 1.0 μB/f.u. The density of states at the Fermi level comes out at 0.607 states/eV per atom. The value obtained for the density is 2.52 Mg/m³. As for the space-group type: I4/mmm, No. 139. The total DFT energy (no corrections) is -2.958 eV/atom. The calculation puts the distance to the lowest polymorph of the same formula at 66.3 meV/atom.

=====

Record 9
VASP calculation (PBE) on a geometry-optimized RbTeCl6 structure.

a b c (Å): 6.684 6.684 6.623
angles (deg): 104.18 104.18 100.73
Fractional positions:
Rb  0.000  0.000  0.000
Te  0.500  0.500  0.500
Cl  0.211  0.547  0.214
Cl  0.229  0.229  0.556
Cl  0.453  0.789  0.786
Cl  0.547  0.211  0.214
Cl  0.771  0.771  0.444
Cl  0.789  0.453  0.786

## Properties
Its total magnetization is 0.0 μB/f.u. The density of states at the Fermi level comes out at 0.436 states/eV per atom. The value obtained for the density is 2.63 Mg/m³. As for the space-group type: C2/m, No. 12. The total DFT energy (no corrections) is -2.757 eV/atom. The calculation puts the distance to the lowest polymorph of the same formula at 0.0 meV/atom.

=====

Record 10
VASP calculation (PBE) on a geometry-optimized RbTeCl structure.

a b c (Å): 4.433 4.433 12.051
angles (deg): 90.00 90.00 90.00
Fractional positions:
Rb  0.250  0.250  0.140
Rb  0.750  0.750  0.860
Te  0.250  0.750  0.500
Te  0.750  0.250  0.500
Cl  0.250  0.250  0.859
Cl  0.750  0.750  0.141

## Properties
Its total magnetization is 0.0 μB/f.u. The density of states at the Fermi level comes out at 0.248 states/eV per atom. The value obtained for the density is 3.49 Mg/m³. As for the space-group type: P4/nmm, No. 129. The total DFT energy (no corrections) is -3.143 eV/atom. The calculation puts the distance to the lowest polymorph of the same formula at 1.3 meV/atom.

=====

Record 11
VASP calculation (PBE) on a geometry-optimized Rb3TeCl6 structure.

a b c (Å): 7.788 7.788 8.434
angles (deg): 118.96 118.96 61.59
Fractional positions:
Rb  0.000  0.000  0.000
Rb  0.256  0.256  0.787
Rb  0.744  0.744  0.213
Te  0.500  0.500  0.500
Cl  0.209  0.649  0.193
Cl  0.281  0.281  0.409
Cl  0.351  0.791  0.807
Cl  0.649  0.209  0.193
Cl  0.719  0.719  0.591
Cl  0.791  0.351  0.807

## Properties
Its total magnetization is 1.0 μB/f.u. The density of states at the Fermi level comes out at 0.060 states/eV per atom. The value obtained for the density is 2.67 Mg/m³. As for the space-group type: C2/m, No. 12. The total DFT energy (no corrections) is -3.025 eV/atom. The calculation puts the distance to the lowest polymorph of the same formula at 0.0 meV/atom.

=====

Record 12
VASP calculation (PBE) on a geometry-optimized RbTeCl2 structure.

a b c (Å): 9.032 9.032 9.032
angles (deg): 31.32 31.32 31.32
Fractional positions:
Rb  0.000  0.000  0.000
Te  0.500  0.500  0.500
Cl  0.399  0.399  0.399
Cl  0.601  0.601  0.601

## Properties
Its total magnetization is 1.0 μB/f.u. The density of states at the Fermi level comes out at 0.386 states/eV per atom. The value obtained for the density is 2.67 Mg/m³. As for the space-group type: R-3m, No. 166. The total DFT energy (no corrections) is -2.878 eV/atom. The calculation puts the distance to the lowest polymorph of the same formula at 0.0 meV/atom.

=====

> Which value of total magnetization does entry 4 give?

1.0 μB/f.u.

=====

Repeat the second record exactly.
VASP calculation (PBE) on a geometry-optimized Rb2ZnTcCl6 structure.

a b c (Å): 7.296 7.296 7.296
angles (deg): 119.82 119.82 90.31
Fractional positions:
Rb  0.250  0.750  0.500
Rb  0.750  0.250  0.500
Zn  0.000  0.000  0.000
Tc  0.500  0.500  0.000
Cl  0.222  0.222  0.000
Cl  0.266  0.266  0.532
Cl  0.266  0.734  0.000
Cl  0.734  0.266  0.000
Cl  0.734  0.734  0.468
Cl  0.778  0.778  0.000

## Properties
Its total magnetization is 3.0 μB/f.u. The density of states at the Fermi level comes out at 0.402 states/eV per atom. The value obtained for the density is 3.30 Mg/m³. As for the space-group type: I4/mmm, No. 139. The total DFT energy (no corrections) is -3.582 eV/atom.

=====

> total DFT energy (no corrections) of number 2 (Rb2ZnTcCl6)?

-3.582 eV/atom